Below is Ca2CdSe after structural relaxation, with properties calculated at the PBE level.

```
data_Ca2CdSe
_chemical_formula_sum 'Ca2 Cd1 Se1'
_space_group_name_H-M_alt 'P 4/m m m'
_space_group_IT_number 123
_space_group_name_Hall '-P 4 2'
_cell_length_a 4.369
_cell_length_b 4.369
_cell_length_c 6.231
_cell_angle_alpha 90.00
_cell_angle_beta 90.00
_cell_angle_gamma 90.00
loop_
_atom_site_label
_atom_site_fract_x
_atom_site_fract_y
_atom_site_fract_z
_atom_site_occupancy
Ca1 0.000 0.000 0.000 1
Ca2 0.500 0.500 0.500 1
Cd1 0.000 0.000 0.500 1
Se1 0.500 0.500 0.000 1
```

Calculated values
D(E_F)   3.98 states/eV per cell
Polymorph energy (0 for the lowest one)   0.631 eV/f.u.
Formation energy from raw total energies   -0.8513 eV per atom

Below is Zr2Be3Os after structural relaxation, with properties calculated at the PBE level.

```
data_Zr2Be3Os
_chemical_formula_sum 'Zr6 Be9 Os3'
_space_group_name_H-M_alt 'R -3 m'
_space_group_IT_number 166
_space_group_name_Hall '-R 3 2"'
_cell_length_a 4.9534
_cell_length_b 4.9534
_cell_length_c 11.8945
_cell_angle_alpha 90.00
_cell_angle_beta 90.00
_cell_angle_gamma 120.00
loop_
_atom_site_label
_atom_site_fract_x
_atom_site_fract_y
_atom_site_fract_z
_atom_site_occupancy
Zr1 0.0000 0.0000 0.1265 1
Be1 0.0000 0.5000 0.0000 1
Os1 0.0000 0.0000 0.5000 1
```

Calculated values
D(E_F)   14.80 states/eV per cell
Calculated formation energy   -0.280 eV per atom

Below is LiTeBr after structural relaxation, with properties calculated at the PBE level.

```
data_LiTeBr
_chemical_formula_sum 'Li4 Te4 Br4'
_space_group_name_H-M_alt 'F -4 3 m'
_space_group_IT_number 216
_space_group_name_Hall 'F -4 2 3'
_cell_length_a 6.851
_cell_length_b 6.851
_cell_length_c 6.851
_cell_angle_alpha 90.00
_cell_angle_beta 90.00
_cell_angle_gamma 90.00
loop_
_atom_site_label
_atom_site_fract_x
_atom_site_fract_y
_atom_site_fract_z
_atom_site_occupancy
Li1 0.000 0.000 0.000 1
Te1 0.250 0.250 0.750 1
Br1 0.250 0.250 0.250 1
```

Calculated values
D(E_F)   9.77 states/eV per cell
Polymorph energy (0 for the lowest one)   1.987 eV/f.u.
Formation energy from raw total energies   -0.2854 eV per atom

Below is Rb2TiPPb after structural relaxation, with properties calculated at the PBE level.

```
data_Rb2TiPPb
_chemical_formula_sum 'Rb2 Ti1 P1 Pb1'
_space_group_name_H-M_alt 'P 4/m m m'
_space_group_IT_number 123
_space_group_name_Hall '-P 4 2'
_cell_length_a 6.500
_cell_length_b 6.500
_cell_length_c 5.462
_cell_angle_alpha 90.00
_cell_angle_beta 90.00
_cell_angle_gamma 90.00
loop_
_atom_site_label
_atom_site_fract_x
_atom_site_fract_y
_atom_site_fract_z
_atom_site_occupancy
Rb1 0.000 0.500 0.000 1
Ti1 0.000 0.000 0.500 1
P1 0.500 0.500 0.000 1
Pb1 0.500 0.500 0.500 1
```

Calculated values
D(E_F)   14.53 states/eV per cell
Polymorph energy (0 for the lowest one)   0.000 eV/f.u.
Calculated formation energy   0.933 eV per atom

Below is Sm3Zn2Pt3 after structural relaxation, with properties calculated at the PBE level.

```
data_Sm3Zn2Pt3
_chemical_formula_sum 'Sm6 Zn4 Pt6'
_space_group_name_H-M_alt 'P 63/m c m'
_space_group_IT_number 193
_space_group_name_Hall '-P 6c 2'
_cell_length_a 8.4352
_cell_length_b 8.4352
_cell_length_c 5.7208
_cell_angle_alpha 90.00
_cell_angle_beta 90.00
_cell_angle_gamma 120.00
loop_
_atom_site_label
_atom_site_fract_x
_atom_site_fract_y
_atom_site_fract_z
_atom_site_occupancy
Sm1 0.0000 0.2791 0.2500 1
Zn1 0.3333 0.6667 0.0000 1
Pt1 0.0000 0.3863 0.7500 1
```

Calculated values
D(E_F)   9.08 states/eV per cell
Calculated formation energy   -0.854 eV per atom

Below is ZrCoAg2 after structural relaxation, with properties calculated at the PBE level.

```
data_ZrCoAg2
_chemical_formula_sum 'Zr2 Co2 Ag4'
_space_group_name_H-M_alt 'C m m m'
_space_group_IT_number 65
_space_group_name_Hall '-C 2 2'
_cell_length_a 5.418
_cell_length_b 8.847
_cell_length_c 2.876
_cell_angle_alpha 90.00
_cell_angle_beta 90.00
_cell_angle_gamma 90.00
loop_
_atom_site_label
_atom_site_fract_x
_atom_site_fract_y
_atom_site_fract_z
_atom_site_occupancy
Zr1 0.000 0.000 0.000 1
Co1 0.000 0.500 0.000 1
Ag1 0.250 0.250 0.500 1
```

Calculated values
D(E_F)   5.69 states/eV per cell
Polymorph energy (0 for the lowest one)   1.023 eV/f.u.
Calculated formation energy   0.270 eV per atom

Below is Na2La4Se3N2 after structural relaxation, with properties calculated at the PBE level.

```
data_Na2La4Se3N2
_chemical_formula_sum 'Na4 La8 Se6 N4'
_space_group_name_H-M_alt 'I 4/m m m'
_space_group_IT_number 139
_space_group_name_Hall '-I 4 2'
_cell_length_a 4.900
_cell_length_b 4.900
_cell_length_c 23.702
_cell_angle_alpha 90.00
_cell_angle_beta 90.00
_cell_angle_gamma 90.00
loop_
_atom_site_label
_atom_site_fract_x
_atom_site_fract_y
_atom_site_fract_z
_atom_site_occupancy
Na1 0.000 0.000 0.204 1
La1 0.000 0.500 0.088 1
Se1 0.000 0.000 0.326 1
Se2 0.000 0.000 0.500 1
N1 0.000 0.000 0.101 1
```

Calculated values
D(E_F)   6.94 states/eV per cell
Formation energy from raw total energies   -1.3218 eV per atom

Below is Cs3SrH4 after structural relaxation, with properties calculated at the PBE level.

```
data_Cs3SrH4
_chemical_formula_sum 'Cs6 Sr2 H8'
_space_group_name_H-M_alt 'I m m 2'
_space_group_IT_number 44
_space_group_name_Hall 'I 2 -2'
_cell_length_a 7.043
_cell_length_b 10.873
_cell_length_c 7.498
_cell_angle_alpha 90.00
_cell_angle_beta 90.00
_cell_angle_gamma 90.00
loop_
_atom_site_label
_atom_site_fract_x
_atom_site_fract_y
_atom_site_fract_z
_atom_site_occupancy
Cs1 0.000 0.000 0.000 1
Cs2 0.000 0.226 0.461 1
Sr1 0.000 0.500 0.988 1
H1 0.000 0.280 0.046 1
H2 0.222 0.000 0.322 1
```

Calculated values
D(E_F)   2.88 states/eV per cell

Below is Co2HgOsPb after structural relaxation, with properties calculated at the PBE level.

```
data_Co2HgOsPb
_chemical_formula_sum 'Co2 Hg1 Os1 Pb1'
_space_group_name_H-M_alt 'P 4/m m m'
_space_group_IT_number 123
_space_group_name_Hall '-P 4 2'
_cell_length_a 4.760
_cell_length_b 4.760
_cell_length_c 5.075
_cell_angle_alpha 90.00
_cell_angle_beta 90.00
_cell_angle_gamma 90.00
loop_
_atom_site_label
_atom_site_fract_x
_atom_site_fract_y
_atom_site_fract_z
_atom_site_occupancy
Co1 0.000 0.500 0.000 1
Hg1 0.000 0.000 0.500 1
Os1 0.500 0.500 0.500 1
Pb1 0.500 0.500 0.000 1
```

Calculated values
D(E_F)   6.68 states/eV per cell
Calculated formation energy   1.983 eV per atom

Below is SrTm2CuO5 after structural relaxation, with properties calculated at the PBE level.

```
data_SrTm2CuO5
_chemical_formula_sum 'Sr4 Tm8 Cu4 O20'
_space_group_name_H-M_alt 'I 4/m c m'
_space_group_IT_number 140
_space_group_name_Hall '-I 4 2c'
_cell_length_a 6.378
_cell_length_b 6.378
_cell_length_c 11.368
_cell_angle_alpha 90.00
_cell_angle_beta 90.00
_cell_angle_gamma 90.00
loop_
_atom_site_label
_atom_site_fract_x
_atom_site_fract_y
_atom_site_fract_z
_atom_site_occupancy
Sr1 0.000 0.000 0.250 1
Tm1 0.172 0.328 0.000 1
Cu1 0.000 0.500 0.250 1
O1 0.000 0.000 0.000 1
O2 0.146 0.354 0.375 1
```

Calculated values
D(E_F)   23.00 states/eV per cell
Formation energy from raw total energies   -2.6680 eV per atom

Below is KHfHg2 after structural relaxation, with properties calculated at the PBE level.

```
data_KHfHg2
_chemical_formula_sum 'K4 Hf4 Hg8'
_space_group_name_H-M_alt 'I -4 2 d'
_space_group_IT_number 122
_space_group_name_Hall 'I -4 2bw'
_cell_length_a 8.200
_cell_length_b 8.200
_cell_length_c 7.455
_cell_angle_alpha 90.00
_cell_angle_beta 90.00
_cell_angle_gamma 90.00
loop_
_atom_site_label
_atom_site_fract_x
_atom_site_fract_y
_atom_site_fract_z
_atom_site_occupancy
K1 0.000 0.000 0.000 1
Hf1 0.000 0.000 0.500 1
Hg1 0.203 0.250 0.625 1
```

Calculated values
D(E_F)   24.06 states/eV per cell
Polymorph energy (0 for the lowest one)   0.521 eV/f.u.
Calculated formation energy   0.465 eV per atom

Below is SrTlSb4 after structural relaxation, with properties calculated at the PBE level.

```
data_SrTlSb4
_chemical_formula_sum 'Sr4 Tl4 Sb16'
_space_group_name_H-M_alt 'F -4 3 m'
_space_group_IT_number 216
_space_group_name_Hall 'F -4 2 3'
_cell_length_a 9.090
_cell_length_b 9.090
_cell_length_c 9.090
_cell_angle_alpha 90.00
_cell_angle_beta 90.00
_cell_angle_gamma 90.00
loop_
_atom_site_label
_atom_site_fract_x
_atom_site_fract_y
_atom_site_fract_z
_atom_site_occupancy
Sr1 0.000 0.000 0.000 1
Tl1 0.250 0.250 0.750 1
Sb1 0.124 0.124 0.376 1
```

Calculated values
D(E_F)   18.21 states/eV per cell
Formation energy from raw total energies   -0.2276 eV per atom

Below is DyCuCl4 after structural relaxation, with properties calculated at the PBE level.

```
data_DyCuCl4
_chemical_formula_sum 'Dy4 Cu4 Cl16'
_space_group_name_H-M_alt 'C 1 2/c 1'
_space_group_IT_number 15
_space_group_name_Hall '-C 2yc'
_cell_length_a 7.709
_cell_length_b 16.719
_cell_length_c 6.824
_cell_angle_alpha 90.00
_cell_angle_beta 122.01
_cell_angle_gamma 90.00
loop_
_atom_site_label
_atom_site_fract_x
_atom_site_fract_y
_atom_site_fract_z
_atom_site_occupancy
Dy1 0.000 0.065 0.250 1
Cu1 0.000 0.329 0.750 1
Cl1 0.225 0.183 0.246 1
Cl2 0.226 0.047 0.706 1
```

Calculated values
D(E_F)   0.00 states/eV per cell
Formation energy from raw total energies   -1.6314 eV per atom

Below is Li2Ga2Ni3 after structural relaxation, with properties calculated at the PBE level.

```
data_Li2Ga2Ni3
_chemical_formula_sum 'Li8 Ga8 Ni12'
_space_group_name_H-M_alt 'I 21 3'
_space_group_IT_number 199
_space_group_name_Hall 'I 2b 2c 3'
_cell_length_a 7.203
_cell_length_b 7.203
_cell_length_c 7.203
_cell_angle_alpha 90.00
_cell_angle_beta 90.00
_cell_angle_gamma 90.00
loop_
_atom_site_label
_atom_site_fract_x
_atom_site_fract_y
_atom_site_fract_z
_atom_site_occupancy
Li1 0.170 0.330 0.670 1
Ga1 0.025 0.025 0.025 1
Ni1 0.000 0.250 0.276 1
```

Calculated values
D(E_F)   17.38 states/eV per cell
Polymorph energy (0 for the lowest one)   0.183 eV/f.u.
Calculated formation energy   -0.204 eV per atom

Below is Hg2RuI after structural relaxation, with properties calculated at the PBE level.

```
data_Hg2RuI
_chemical_formula_sum 'Hg8 Ru4 I4'
_space_group_name_H-M_alt 'F m -3 m'
_space_group_IT_number 225
_space_group_name_Hall '-F 4 2 3'
_cell_length_a 7.206
_cell_length_b 7.206
_cell_length_c 7.206
_cell_angle_alpha 90.00
_cell_angle_beta 90.00
_cell_angle_gamma 90.00
loop_
_atom_site_label
_atom_site_fract_x
_atom_site_fract_y
_atom_site_fract_z
_atom_site_occupancy
Hg1 0.250 0.250 0.250 1
Ru1 0.000 0.000 0.000 1
I1 0.000 0.000 0.500 1
```

Calculated values
D(E_F)   8.85 states/eV per cell
Polymorph energy (0 for the lowest one)   1.101 eV/f.u.
Formation energy from raw total energies   1.0032 eV per atom

Below is BaCdPdCl6 after structural relaxation, with properties calculated at the PBE level.

```
data_BaCdPdCl6
_chemical_formula_sum 'Ba1 Cd1 Pd1 Cl6'
_space_group_name_H-M_alt 'P 3 1 2'
_space_group_IT_number 149
_space_group_name_Hall 'P 3 2'
_cell_length_a 6.7728
_cell_length_b 6.7728
_cell_length_c 6.6783
_cell_angle_alpha 90.00
_cell_angle_beta 90.00
_cell_angle_gamma 120.00
loop_
_atom_site_label
_atom_site_fract_x
_atom_site_fract_y
_atom_site_fract_z
_atom_site_occupancy
Ba1 0.0000 0.0000 0.0000 1
Cd1 0.3333 0.6667 0.5000 1
Pd1 0.6667 0.3333 0.5000 1
Cl1 0.3748 0.0127 0.7204 1
```

Calculated values
Formation energy from raw total energies   -1.2803 eV per atom

Below is ZrIn2Rh2 after structural relaxation, with properties calculated at the PBE level.

```
data_ZrIn2Rh2
_chemical_formula_sum 'Zr1 In2 Rh2'
_space_group_name_H-M_alt 'P -3 m 1'
_space_group_IT_number 164
_space_group_name_Hall '-P 3 2"'
_cell_length_a 4.5359
_cell_length_b 4.5359
_cell_length_c 5.6063
_cell_angle_alpha 90.00
_cell_angle_beta 90.00
_cell_angle_gamma 120.00
loop_
_atom_site_label
_atom_site_fract_x
_atom_site_fract_y
_atom_site_fract_z
_atom_site_occupancy
Zr1 0.0000 0.0000 0.0000 1
In1 0.3333 0.6667 0.3549 1
Rh1 0.3333 0.6667 0.8478 1
```

Calculated values
D(E_F)   4.71 states/eV per cell
Polymorph energy (0 for the lowest one)   0.000 eV/f.u.
Calculated formation energy   -0.524 eV per atom

Below is PaMo2C after structural relaxation, with properties calculated at the PBE level.

```
data_PaMo2C
_chemical_formula_sum 'Pa3 Mo6 C3'
_space_group_name_H-M_alt 'R -3 m'
_space_group_IT_number 166
_space_group_name_Hall '-R 3 2"'
_cell_length_a 3.1069
_cell_length_b 3.1069
_cell_length_c 23.4140
_cell_angle_alpha 90.00
_cell_angle_beta 90.00
_cell_angle_gamma 120.00
loop_
_atom_site_label
_atom_site_fract_x
_atom_site_fract_y
_atom_site_fract_z
_atom_site_occupancy
Pa1 0.0000 0.0000 0.0000 1
Mo1 0.0000 0.0000 0.1172 1
C1 0.0000 0.0000 0.5000 1
```

Calculated values
D(E_F)   13.10 states/eV per cell
Calculated formation energy   0.320 eV per atom

Below is Li2NpIrO6 after structural relaxation, with properties calculated at the PBE level.

```
data_Li2NpIrO6
_chemical_formula_sum 'Li2 Np1 Ir1 O6'
_space_group_name_H-M_alt 'P 4 m m'
_space_group_IT_number 99
_space_group_name_Hall 'P 4 -2'
_cell_length_a 5.809
_cell_length_b 5.809
_cell_length_c 4.010
_cell_angle_alpha 90.00
_cell_angle_beta 90.00
_cell_angle_gamma 90.00
loop_
_atom_site_label
_atom_site_fract_x
_atom_site_fract_y
_atom_site_fract_z
_atom_site_occupancy
Li1 0.000 0.500 0.000 1
Np1 0.000 0.000 0.878 1
Ir1 0.500 0.500 0.895 1
O1 0.000 0.000 0.383 1
O2 0.253 0.253 0.904 1
O3 0.500 0.500 0.397 1
```

Calculated values
D(E_F)   2.22 states/eV per cell
Formation energy from raw total energies   -1.8125 eV per atom

Below is K2InRhS after structural relaxation, with properties calculated at the PBE level.

```
data_K2InRhS
_chemical_formula_sum 'K2 In1 Rh1 S1'
_space_group_name_H-M_alt 'P 4/m m m'
_space_group_IT_number 123
_space_group_name_Hall '-P 4 2'
_cell_length_a 6.324
_cell_length_b 6.324
_cell_length_c 4.939
_cell_angle_alpha 90.00
_cell_angle_beta 90.00
_cell_angle_gamma 90.00
loop_
_atom_site_label
_atom_site_fract_x
_atom_site_fract_y
_atom_site_fract_z
_atom_site_occupancy
K1 0.000 0.500 0.000 1
In1 0.000 0.000 0.000 1
Rh1 0.000 0.000 0.500 1
S1 0.500 0.500 0.500 1
```

Calculated values
D(E_F)   5.94 states/eV per cell
Formation energy from raw total energies   0.4677 eV per atom

| no. | VASP energy (eV per atom) |
| --- | --- |
| 1 | -2.952 |
| 2 | -6.864 |
| 3 | -2.528 |
| 4 | -2.857 |
| 5 | -5.207 |
| 6 | -5.069 |
| 7 | -5.817 |
| 8 | -2.353 |
| 9 | -3.908 |
| 10 | -7.058 |
| 11 | -2.448 |
| 12 | -3.651 |
| 13 | -4.312 |
| 14 | -4.094 |
| 15 | -1.854 |
| 16 | -3.404 |
| 17 | -6.270 |
| 18 | -9.776 |
| 19 | -7.350 |
| 20 | -2.815 |